1.
# PmNd3SmEr

A relaxed PmNd3SmEr crystal (PBE, Alexandria).

abc: 5.129 8.149 10.293
angles: 90.00 90.00 108.34
Fractional positions:
Nd 0.666 0.332 0.001
Nd 0.168 0.335 0.750
Nd 0.832 0.665 0.250
Nd 0.334 0.668 0.501
Nd 0.666 0.332 0.499
Nd 0.334 0.668 0.999
Pm 0.498 0.997 0.750
Pm 0.502 0.003 0.250
Er 0.166 0.333 0.250
Er 0.834 0.667 0.750
Sm 0.000 0.000 0.500
Sm 0.000 0.000 0.000

ρ: 7.28 g/cm3
Energy: -4.707 eV per atom



2.
# TbHfZr

A relaxed TbHfZr crystal (PBE, Alexandria).

abc: 3.201 3.201 7.827
angles: 101.80 101.80 90.00
Fractional positions:
Zr 0.681 0.681 0.361
Tb 0.997 0.997 0.993
Hf 0.323 0.323 0.646

Energy above the most stable polymorph in this dataset: 4.6 meV/atom
ρ: 9.27 g/cm3
Energy: -7.597 eV per atom



- Which of these has the lowest ρ?
  PmNd3SmEr